4
Lattice="3.568 0.000 0.000 0.000 4.432 0.000 0.000 0.000 5.635" Properties=species:S:1:pos:R:3 comment="GGA-PBEsol TlSiCl2, optimized geometry" dft_energy_ha_per_atom=-0.11779 raw_formation_energy_ev_per_atom=-0.11 e_above_lowest_polymorph_ev_per_atom=0.241 pbc="T T T"
Tl 0.000 0.000 0.000
Si 1.784 0.000 2.817
Cl 0.000 2.216 2.817
Cl 1.784 2.216 0.000